A plane-wave DFT calculation with PBE was carried out for a relaxed TcTePb2 crystal.

Structure (POSCAR):
```
TcTePb2
1.0
-1.691 2.217 7.032
1.691 -2.217 7.032
1.691 2.217 -7.032
Tc Te Pb
1 1 2
Direct
0.000 0.000 0.000
0.500 0.500 0.000
0.175 0.675 0.500
0.825 0.325 0.500
```

total magnetization	0.000	μB/cell
raw formation energy	0.35	eV per atom
space group	Immm